An optimized crystal structure of TmGa2Ni6, computed with PBE.

Output
The space-group type is P6/mmm (191).

Unit cell a=5.0064 b=5.0064 c=6.3114 alpha=90.00 beta=90.00 gamma=120.00
Sites, in units of the cell vectors:
Tm 0.0000 0.0000 0.0000
Ga 0.3333 0.6667 0.5000
Ga 0.6667 0.3333 0.5000
Ni 0.4999 0.0000 0.1922
Ni 0.5001 0.5001 0.1922
Ni 0.0000 0.4999 0.1922
Ni 0.4999 0.4999 0.8078
Ni 0.0000 0.5001 0.8078
Ni 0.5001 0.0000 0.8078

An optimized crystal structure of TmGa5Ni7, computed with PBE.

Output
The space-group type is Imm2 (44).

Unit cell a=5.0679 b=6.4116 c=6.4116 alpha=83.25 beta=66.72 gamma=66.72
Sites, in units of the cell vectors:
Tm 0.9947 0.0053 0.0053
Ga 0.5000 0.0092 0.4846
Ga 0.0062 0.0092 0.4846
Ga 0.5000 0.4846 0.0092
Ga 0.0062 0.4846 0.0092
Ga 0.7154 0.7846 0.7846
Ni 0.6454 0.3546 0.3546
Ni 0.3427 0.6573 0.6573
Ni 0.9969 0.3552 0.6510
Ni 0.9969 0.6510 0.3552
Ni 0.2830 0.2170 0.2170
Ni 0.5063 0.7713 0.2161
Ni 0.5063 0.2161 0.7713

An optimized crystal structure of Tm3Ga3Ni, computed with PBE.

Output
The space-group type is C2/m (12).

Unit cell a=4.2227 b=5.6463 c=13.3300 alpha=84.65 beta=80.89 gamma=68.04
Sites, in units of the cell vectors:
Tm 0.5301 0.3241 0.6157
Tm 0.4699 0.6759 0.3843
Tm 0.2582 0.2483 0.2353
Tm 0.7418 0.7517 0.7647
Tm 0.3957 0.2864 0.9222
Tm 0.6043 0.7136 0.0778
Ga 0.8531 0.7535 0.5402
Ga 0.1469 0.2465 0.4598
Ga 0.1117 0.8531 0.9235
Ga 0.8883 0.1469 0.0765
Ga 0.9662 0.8314 0.2362
Ga 0.0338 0.1686 0.7638
Ni 0.7529 0.1019 0.3923
Ni 0.2471 0.8981 0.6077

E_form, respectively: -0.183 -0.330 -0.625 eV per atom.
D(E_F), respectively: 0.92 0.61 0.67 states/eV/atom.